*a*
The following is a DFT calculation (GGA-PBE) of a relaxed structure of BeOsIN2.

a b c (Å): 3.6702 3.6702 5.2647
angles (deg): 90.00 90.00 90.00
Closest atoms and distances in Å follow each position.
Fractional positions:
N 0.0000 0.5000 0.0000  2 Be 1.84
I 0.0000 0.0000 0.5000  4 Os 2.60, 2 Be 2.63
N 0.5000 0.0000 0.0000  2 Be 1.84
Os 0.5000 0.5000 0.5000  4 I 2.60
Be 0.0000 0.0000 0.0000  4 N 1.84

Output
* Fermi-level density of states: 0.814 states/eV per atom
* space-group type: P4/mmm
* crystal system: tetragonal
* V: 70.9 Å³/f.u.

*b*
The following is a DFT calculation (GGA-PBE) of a relaxed structure of BeOsIN2.

a b c (Å): 3.7828 3.7828 6.2284
angles (deg): 90.00 90.00 90.00
Closest atoms and distances in Å follow each position.
Fractional positions:
N 0.0000 0.5000 0.0000  2 Os 1.89
I 0.0000 0.0000 0.5000  4 Be 2.67
Be 0.5000 0.5000 0.5000  4 I 2.67
N 0.5000 0.0000 0.0000  2 Os 1.89
Os 0.0000 0.0000 0.0000  4 N 1.89

Output
* Fermi-level density of states: 0.845 states/eV per atom
* space-group type: P4/mmm
* crystal system: tetragonal
* V: 89.1 Å³/f.u.

Of them, *b* has the highest stability.

*a*
The following is a DFT calculation (GGA-PBE) of a relaxed structure of BePIN2.

a b c (Å): 3.6164 3.6164 7.2842
angles (deg): 90.00 90.00 90.00
Closest atoms and distances in Å follow each position.
Fractional positions:
I 0.0000 0.0000 0.5000  4 P 2.56
N 0.0000 0.5000 0.0000  2 Be 1.81
P 0.5000 0.5000 0.5000  4 I 2.56
N 0.5000 0.0000 0.0000  2 Be 1.81
Be 0.0000 0.0000 0.0000  4 N 1.81

Output
* Fermi-level density of states: 0.623 states/eV per atom
* space-group type: P4/mmm
* crystal system: tetragonal
* V: 95.3 Å³/f.u.

*b*
The following is a DFT calculation (GGA-PBE) of a relaxed structure of BePIN2.

a b c (Å): 3.4434 3.4434 7.1164
angles (deg): 90.00 90.00 90.00
Closest atoms and distances in Å follow each position.
Fractional positions:
N 0.5000 0.0000 0.0000  2 P 1.72
N 0.0000 0.5000 0.0000  2 P 1.72
I 0.0000 0.0000 0.5000  4 Be 2.43
Be 0.5000 0.5000 0.5000  4 I 2.43
P 0.0000 0.0000 0.0000  4 N 1.72

Output
* Fermi-level density of states: 0.240 states/eV per atom
* space-group type: P4/mmm
* crystal system: tetragonal
* V: 84.4 Å³/f.u.

Of them, *b* has the highest stability.

*a*
The following is a DFT calculation (GGA-PBE) of a relaxed structure of BePbI2N.

a b c (Å): 6.2753 6.2753 4.7295
angles (deg): 90.00 90.00 90.00
Closest atoms and distances in Å follow each position.
Fractional positions:
N 0.0000 0.0000 0.5000  2 Pb 2.36
I 0.5000 0.0000 0.0000  2 Pb 3.14
I 0.0000 0.5000 0.0000  2 Pb 3.14
Be 0.5000 0.5000 0.5000  8 I 3.93
Pb 0.0000 0.0000 0.0000  2 N 2.36

Output
* Fermi-level density of states: 0.523 states/eV per atom
* space-group type: P4/mmm
* crystal system: tetragonal
* V: 186.2 Å³/f.u.

*b*
The following is a DFT calculation (GGA-PBE) of a relaxed structure of BePbI2N.

a b c (Å): 6.1381 6.1381 3.2935
angles (deg): 90.00 90.00 90.00
Closest atoms and distances in Å follow each position.
Fractional positions:
Be 0.0000 0.0000 0.0000  2 N 1.65
Pb 0.5000 0.5000 0.5000  2 Pb 3.29, 8 I 3.48
N 0.0000 0.0000 0.5000  2 Be 1.65
I 0.5000 0.0000 0.0000  2 Be 3.07, 2 I 3.29
I 0.0000 0.5000 0.0000  2 Be 3.07, 2 I 3.29

Output
* Fermi-level density of states: 0.519 states/eV per atom
* space-group type: P4/mmm
* crystal system: tetragonal
* V: 124.1 Å³/f.u.

Of them, *b* has the highest stability.

*a*
The following is a DFT calculation (GGA-PBE) of a relaxed structure of BePdIN2.

a b c (Å): 3.6274 3.6274 7.2462
angles (deg): 90.00 90.00 90.00
Closest atoms and distances in Å follow each position.
Fractional positions:
I 0.0000 0.0000 0.5000  4 Pd 2.56
Pd 0.5000 0.5000 0.5000  4 I 2.56
N 0.0000 0.5000 0.0000  2 Be 1.81
Be 0.0000 0.0000 0.0000  4 N 1.81
N 0.5000 0.0000 0.0000  2 Be 1.81

Output
* Fermi-level density of states: 0.424 states/eV per atom
* space-group type: P4/mmm
* crystal system: tetragonal
* V: 95.3 Å³/f.u.

*b*
The following is a DFT calculation (GGA-PBE) of a relaxed structure of BePdIN2.

a b c (Å): 3.8069 3.8069 7.9002
angles (deg): 90.00 90.00 90.00
Closest atoms and distances in Å follow each position.
Fractional positions:
Be 0.5000 0.5000 0.5000  4 I 2.69
I 0.0000 0.0000 0.5000  4 Be 2.69
N 0.0000 0.5000 0.0000  2 Pd 1.90
N 0.5000 0.0000 0.0000  2 Pd 1.90
Pd 0.0000 0.0000 0.0000  4 N 1.90

Output
* Fermi-level density of states: 0.698 states/eV per atom
* space-group type: P4/mmm
* crystal system: tetragonal
* V: 114.5 Å³/f.u.

Of them, *a* has the highest stability.

*a*
The following is a DFT calculation (GGA-PBE) of a relaxed structure of RbBeIN2.

a b c (Å): 4.4585 4.4585 5.3804
angles (deg): 90.00 90.00 90.00
Closest atoms and distances in Å follow each position.
Fractional positions:
Rb 0.5000 0.5000 0.5000  4 I 3.15, 8 N 3.49
N 0.5000 0.0000 0.0000  2 Be 2.23
N 0.0000 0.5000 0.0000  2 Be 2.23
I 0.0000 0.0000 0.5000  2 Be 2.69
Be 0.0000 0.0000 0.0000  4 N 2.23

Output
* Fermi-level density of states: 0.176 states/eV per atom
* space-group type: P4/mmm
* crystal system: tetragonal
* V: 107.0 Å³/f.u.

*b*
The following is a DFT calculation (GGA-PBE) of a relaxed structure of RbBeIN2.

a b c (Å): 5.4738 5.4738 7.3052
angles (deg): 90.00 90.00 90.00
Closest atoms and distances in Å follow each position.
Fractional positions:
N 0.5000 0.0000 0.0000  2 Rb 2.74
Rb 0.0000 0.0000 0.0000  4 N 2.74
N 0.0000 0.5000 0.0000  2 Rb 2.74
Be 0.5000 0.5000 0.5000  4 I 3.87
I 0.0000 0.0000 0.5000  2 Rb 3.65, 4 Be 3.87

Output
* Fermi-level density of states: 0.849 states/eV per atom
* space-group type: P4/mmm
* crystal system: tetragonal
* V: 218.9 Å³/f.u.

Of them, *a* has the highest stability.

*a*
The following is a DFT calculation (GGA-PBE) of a relaxed structure of BeReIN2.

a b c (Å): 3.7408 3.7408 4.8217
angles (deg): 90.00 90.00 90.00
Closest atoms and distances in Å follow each position.
Fractional positions:
N 0.0000 0.5000 0.0000  2 Be 1.87
I 0.0000 0.0000 0.5000  2 Be 2.41, 4 Re 2.65
N 0.5000 0.0000 0.0000  2 Be 1.87
Be 0.0000 0.0000 0.0000  4 N 1.87
Re 0.5000 0.5000 0.5000  4 I 2.65

Output
* Fermi-level density of states: 1.252 states/eV per atom
* space-group type: P4/mmm
* crystal system: tetragonal
* V: 67.5 Å³/f.u.

*b*
The following is a DFT calculation (GGA-PBE) of a relaxed structure of BeReIN2.

a b c (Å): 3.8459 3.8459 5.8254
angles (deg): 90.00 90.00 90.00
Closest atoms and distances in Å follow each position.
Fractional positions:
I 0.0000 0.0000 0.5000  4 Be 2.72, 2 Re 2.91
N 0.0000 0.5000 0.0000  2 Re 1.92
Be 0.5000 0.5000 0.5000  4 I 2.72
Re 0.0000 0.0000 0.0000  4 N 1.92
N 0.5000 0.0000 0.0000  2 Re 1.92

Output
* Fermi-level density of states: 0.579 states/eV per atom
* space-group type: P4/mmm
* crystal system: tetragonal
* V: 86.2 Å³/f.u.

Of them, *b* has the highest stability.